# BaIn2Te PBE-GGA relaxed
# VASP energy: -3.227 eV/atom
# density of states at the Fermi level: 2.1 states/eV/cell
data_BaIn2Te
_cell_length_a 4.904
_cell_length_b 4.904
_cell_length_c 5.555
_cell_angle_alpha 90.00
_cell_angle_beta 90.00
_cell_angle_gamma 90.00
_symmetry_space_group_name_H-M 'P 4/m m m'
_symmetry_Int_Tables_number 123
_symmetry_space_group_name_Hall '-P 4 2'
loop_
_atom_site_label
_atom_site_fract_x
_atom_site_fract_y
_atom_site_fract_z
Ba1 0.000 0.000 0.000
In1 0.000 0.500 0.500
Te1 0.500 0.500 0.000